CaCd2Rh | GGA-PBE | optimized geometry

Values from the calculation:
Formation energy from the elements   -195 meV per atom
Crystal system   cubic
Total DFT energy (no corrections)   -2.991 eV/atom

```
data_CaCd2Rh
_space_group_name_H-M_alt 'P 1'
_space_group_IT_number 1
_cell_length_a 4.898
_cell_length_b 4.898
_cell_length_c 4.898
_cell_angle_alpha 60.00
_cell_angle_beta 60.00
_cell_angle_gamma 60.00
loop_
_space_group_symop_operation_xyz
'x,y,z'
loop_
_atom_site_label
_atom_site_type_symbol
_atom_site_fract_x
_atom_site_fract_y
_atom_site_fract_z
Ca1 Ca 0.000 0.000 0.000
Cd1 Cd 0.500 0.500 0.500
Cd2 Cd 0.750 0.750 0.750
Rh1 Rh 0.250 0.250 0.250
```